# 1
DFT (PBE) results for CeH4Pt2 after structural relaxation.

Computed properties:
E = -67.4 eV per cell
D(E_F) = 0.68 states/eV per atom

abc: 5.6877 5.6877 5.3400
angles: 90.00 90.00 90.00
Last column: nearest neighbours and their distance in Å.
Space group I4/m (No. 87)
Symmetry-distinct sites (fractional):
Ce1 0.0000 0.0000 0.0000 [2 per cell]  16 H 3.09-3.13, 8 Pt 3.14
H1 0.0012 0.2865 0.5000 [8 per cell]  2 Pt 1.80
Pt1 0.0000 0.5000 0.2500 [4 per cell]  4 H 1.80

***

# 2
DFT (PBE) results for Ce2H2Pt after structural relaxation.

Computed properties:
E = -222.6 eV per cell
D(E_F) = 2.15 states/eV per atom

abc: 7.2012 9.5977 10.1518
angles: 90.00 90.00 90.00
Last column: nearest neighbours and their distance in Å.
Space group Fddd (No. 70, origin choice 2)
Symmetry-distinct sites (fractional):
Ce1 0.1250 0.3392 0.1250 [16 per cell]  4 H 2.30-2.35
H1 0.1250 0.1250 0.0126 [16 per cell]  1 H 2.28, 4 Ce 2.30-2.35
Pt1 0.1250 0.1250 0.6250 [8 per cell]  2 Ce 2.74

***

# 3
DFT (PBE) results for Ce2HPt2 after structural relaxation.

Computed properties:
E = -125.2 eV per cell
D(E_F) = 1.83 states/eV per atom

abc: 4.2566 15.4486 6.2041
angles: 90.00 90.00 90.00
Last column: nearest neighbours and their distance in Å.
Space group Cmc2_1 (No. 36)
Symmetry-distinct sites (fractional):
Ce1 0.0000 0.0720 0.0000 [4 per cell]  1 H 2.30
Ce2 0.0000 0.3282 0.9206 [4 per cell]  2 H 2.38
H1 0.0000 0.1068 0.3612 [4 per cell]  3 Ce 2.30-2.38
Pt1 0.0000 0.3041 0.4172 [4 per cell]  6 Ce 2.91-3.15, 1 Pt 2.99, 1 H 3.07
Pt2 0.0000 0.4794 0.2122 [4 per cell]  5 Ce 2.88-2.95, 3 Pt 2.99-3.17, 2 H 3.04

***

# 4
DFT (PBE) results for Ce2HPt4 after structural relaxation.

Computed properties:
E = -90.4 eV per cell
D(E_F) = 0.86 states/eV per atom

abc: 4.1040 4.1040 14.9131
angles: 90.00 90.00 90.00
Last column: nearest neighbours and their distance in Å.
Space group I4/mmm (No. 139)
Symmetry-distinct sites (fractional):
Ce1 0.0000 0.0000 0.1609 [4 per cell]  9 Pt 2.92-3.16
H1 0.0000 0.0000 0.5000 [2 per cell]  6 Pt 2.05-2.11
Pt1 0.0000 0.0000 0.3585 [4 per cell]  1 H 2.11
Pt2 0.0000 0.5000 0.0000 [4 per cell]  2 H 2.05

***

# 5
DFT (PBE) results for CeH2Pt after structural relaxation.

Computed properties:
Distance to the lowest polymorph of the same formula = 0.00 eV per formula unit
E = -85.2 eV per cell
D(E_F) = 1.06 states/eV per atom

abc: 3.8003 12.6011 4.2758
angles: 90.00 90.00 90.00
Last column: nearest neighbours and their distance in Å.
Space group Cmcm (No. 63)
Symmetry-distinct sites (fractional):
Ce1 0.0000 0.1493 0.2500 [4 per cell]  6 H 2.32-2.45
H1 0.0000 0.0609 0.7500 [4 per cell]  2 Pt 1.91
H2 0.0000 0.2450 0.7500 [4 per cell]  1 H 2.32, 4 Ce 2.32-2.45
Pt1 0.0000 0.4276 0.2500 [4 per cell]  2 H 1.91

***

# 6
DFT (PBE) results for Ce4HPt2 after structural relaxation.

Computed properties:
Distance to the lowest polymorph of the same formula = 0.07 eV per formula unit
E = -173.6 eV per cell
D(E_F) = 3.36 states/eV per atom

abc: 7.9899 7.9899 11.2914
angles: 90.00 90.00 90.00
Last column: nearest neighbours and their distance in Å.
Space group I-42d (No. 122)
Symmetry-distinct sites (fractional):
Ce1 0.0007 0.7404 0.3701 [16 per cell]  1 H 2.35
H1 0.0000 0.0000 0.0000 [4 per cell]  4 Ce 2.35
Pt1 0.0009 0.7500 0.6250 [8 per cell]  6 Ce 2.88

***

# 7
DFT (PBE) results for CeH4Pt after structural relaxation.

Computed properties:
E = -54.7 eV per cell
D(E_F) = 0.50 states/eV per atom

abc: 3.7919 5.5575 6.0065
angles: 90.00 104.89 90.00
Last column: nearest neighbours and their distance in Å.
Space group P2_1/m (No. 11)
Symmetry-distinct sites (fractional):
Ce1 0.1269 0.2500 0.3220 [2 per cell]  10 H 2.29-2.49
H1 0.0000 0.0000 0.0000 [2 per cell]  2 Pt 1.97
H2 0.3863 0.0236 0.6650 [4 per cell]  1 Pt 1.78
H3 0.4475 0.7500 0.9227 [2 per cell]  1 Pt 1.73
Pt1 0.3212 0.7500 0.1793 [2 per cell]  3 H 1.73-1.78

***

# 8
DFT (PBE) results for Ce3H12Pt5 after structural relaxation.

Computed properties:
E = -751.1 eV per cell
D(E_F) = 1.13 states/eV per atom

abc: 12.1512 12.1512 12.1512
angles: 90.00 90.00 90.00
Last column: nearest neighbours and their distance in Å.
Space group Ia-3d (No. 230)
Symmetry-distinct sites (fractional):
Ce1 0.0000 0.2500 0.1250 [24 per cell]  8 H 2.49-2.57
H1 0.0400 0.0426 0.6368 [96 per cell]  2 Pt 1.80-1.81
Pt1 0.0000 0.0000 0.0000 [16 per cell]  6 H 1.81
Pt2 0.0000 0.2500 0.3750 [24 per cell]  4 H 1.80

***

# 9
DFT (PBE) results for Ce4HPt2 after structural relaxation.

Computed properties:
Distance to the lowest polymorph of the same formula = 0.00 eV per formula unit
E = -86.9 eV per cell
D(E_F) = 2.88 states/eV per atom

abc: 4.5013 4.5013 15.5741
angles: 90.00 90.00 90.00
Last column: nearest neighbours and their distance in Å.
Space group I4/mmm (No. 139)
Symmetry-distinct sites (fractional):
Ce1 0.0000 0.0000 0.1836 [4 per cell]  1 Pt 2.71, 1 H 2.86
Ce2 0.0000 0.5000 0.0000 [4 per cell]  2 H 2.25
H1 0.0000 0.0000 0.0000 [2 per cell]  4 Ce 2.25
Pt1 0.0000 0.0000 0.3574 [4 per cell]  1 Ce 2.71

***

# 10
DFT (PBE) results for CeH2Pt after structural relaxation.

Computed properties:
Distance to the lowest polymorph of the same formula = 0.90 eV per formula unit
E = -81.6 eV per cell
D(E_F) = 1.31 states/eV per atom

abc: 6.2203 3.8015 10.0128
angles: 90.00 90.00 90.00
Last column: nearest neighbours and their distance in Å.
Space group Pnma (No. 62)
Symmetry-distinct sites (fractional):
Ce1 0.2209 0.2500 0.0822 [4 per cell]  4 H 2.21-2.44
H1 0.0394 0.7500 0.0751 [4 per cell]  3 Ce 2.21-2.26, 2 H 2.47
H2 0.1588 0.7500 0.3507 [4 per cell]  2 Pt 1.91
Pt1 0.1772 0.2500 0.3623 [4 per cell]  2 H 1.91

***

# 11
DFT (PBE) results for Ce3HPt8 after structural relaxation.

Computed properties:
E = -239.0 eV per cell
D(E_F) = 1.55 states/eV per atom

abc: 5.4497 5.4497 26.8260
angles: 90.00 90.00 120.00
Last column: nearest neighbours and their distance in Å.
Space group R3m (No. 160, hexagonal axes)
Symmetry-distinct sites (fractional):
Ce1 0.0000 0.0000 0.0000 [3 per cell]  12 Pt 3.15-3.27, 4 Ce 3.51-3.53
Ce2 0.0000 0.0000 0.1308 [3 per cell]  12 Pt 3.01-3.34, 3 H 3.30
Ce3 0.0000 0.0000 0.6073 [3 per cell]  9 Pt 3.01-3.28
H1 0.0000 0.0000 0.4268 [3 per cell]  3 Pt 1.85
Pt1 0.0000 0.0000 0.3090 [3 per cell]  6 Pt 2.73-2.75
Pt2 0.0000 0.0000 0.8099 [3 per cell]  6 Pt 2.72-2.74
Pt3 0.0034 0.5017 0.5594 [9 per cell]  6 Pt 2.70-2.75, 3 Ce 3.01
Pt4 0.1700 0.3399 0.3921 [9 per cell]  1 H 1.85

***

# 12
DFT (PBE) results for Ce6PuHPt2 after structural relaxation.

Computed properties:
E = -139.9 eV per cell
D(E_F) = 1.43 states/eV per atom

abc: 11.4711 6.9182 6.8715
angles: 90.00 119.93 90.00
Last column: nearest neighbours and their distance in Å.
Space group C2/m (No. 12)
Symmetry-distinct sites (fractional):
Ce1 0.0547 0.2415 0.2934 [8 per cell]  1 Pu 2.45, 1 H 2.55
Ce2 0.2394 0.0000 0.1133 [4 per cell]  1 Pu 2.45
Pu1 0.0000 0.0000 0.0000 [2 per cell]  6 Ce 2.45
H1 0.0000 0.5000 0.5000 [2 per cell]  6 Ce 2.55-2.84
Pt1 0.2236 0.0000 0.6933 [4 per cell]  5 Ce 2.80-3.07